Entry 1:
Pm4Ge3 | PBE-GGA | relaxed

POSCAR file:
```
Pm4Ge3
1.0
-7.506 0.848 2.279
0.423 0.412 -7.868
2.707 -7.007 2.416
Pm Ge
8 6
Direct
0.370 0.500 0.000 Pm
0.500 0.370 0.500 Pm
0.000 0.000 0.370 Pm
0.630 0.130 0.130 Pm
0.000 0.000 0.870 Pm
0.130 0.630 0.630 Pm
0.870 0.500 0.000 Pm
0.500 0.870 0.500 Pm
0.125 0.375 0.250 Ge
0.625 0.750 0.875 Ge
0.875 0.250 0.625 Ge
0.250 0.875 0.125 Ge
0.750 0.625 0.375 Ge
0.375 0.125 0.750 Ge
```

Computed properties:
Its relative energy among the computed polymorphs is 0.000 eV/atom. The value obtained for the electronic total energy is -5.525 eV/atom.

Entry 2:
BaAc12Sn7 | PBE-GGA | relaxed

POSCAR file:
```
BaAc12Sn7
1.0
-5.375 2.559 8.468
-6.236 -0.889 -8.214
5.381 -8.711 1.523
Ba Ac Sn
1 12 7
Direct
0.000 0.000 0.000 Ba
0.000 0.269 0.731 Ac
0.731 0.269 0.000 Ac
0.479 0.165 0.479 Ac
0.835 0.521 0.521 Ac
0.269 0.000 0.731 Ac
0.521 0.521 0.835 Ac
0.479 0.479 0.165 Ac
0.731 0.000 0.269 Ac
0.165 0.479 0.479 Ac
0.521 0.835 0.521 Ac
0.269 0.731 0.000 Ac
0.000 0.731 0.269 Ac
0.861 0.529 0.861 Sn
0.471 0.139 0.139 Sn
0.139 0.139 0.471 Sn
0.500 0.500 0.500 Sn
0.861 0.861 0.529 Sn
0.529 0.861 0.861 Sn
0.139 0.471 0.139 Sn
```

Computed properties:
The value obtained for the electronic total energy is -4.400 eV/atom.

Entry 3:
BiP | PBE-GGA | relaxed

POSCAR file:
```
BiP
1.0
4.319 0.000 -0.072
0.000 4.031 0.000
-2.211 0.000 6.365
Bi P
2 2
Direct
0.285 0.500 0.746 Bi
0.715 0.500 0.254 Bi
0.087 0.000 0.174 P
0.913 0.000 0.826 P
```

Computed properties:
Its relative energy among the computed polymorphs is 0.028 eV/atom. The value obtained for the electronic total energy is -4.550 eV/atom.

Asked for energy of formation from the pure elements across the records above, the calculation gives -5.82, -8.76, 0.19 eV per formula unit in order.